# 1
# TbH8Pd4Pt | Alexandria | PBE-GGA | relaxed
data_TbH8Pd4Pt
_chemical_formula_sum 'Tb1 H8 Pd4 Pt1'
_cell_length_a 5.805
_cell_length_b 5.805
_cell_length_c 5.805
_cell_angle_alpha 59.38
_cell_angle_beta 59.38
_cell_angle_gamma 59.38
_symmetry_space_group_name_H-M 'P 1'
_symmetry_Int_Tables_number 1
_symmetry_space_group_name_Hall 'P 1'
loop_
_atom_site_label
_atom_site_type_symbol
_atom_site_fract_x
_atom_site_fract_y
_atom_site_fract_z
Tb1 Tb 0.000 0.000 0.000
H1 H 0.149 0.606 0.606
H2 H 0.152 0.152 0.152
H3 H 0.159 0.159 0.531
H4 H 0.159 0.531 0.159
H5 H 0.531 0.159 0.159
H6 H 0.606 0.149 0.606
H7 H 0.606 0.606 0.149
H8 H 0.612 0.612 0.612
Pd1 Pd 0.375 0.375 0.867
Pd2 Pd 0.375 0.867 0.375
Pd3 Pd 0.746 0.746 0.746
Pd4 Pd 0.867 0.375 0.375
Pt1 Pt 0.375 0.375 0.375
# VASP energy, eV/atom: -4.3412
# M_tot, μB/f.u.: 0.0

---

# 2
# CaLa2Pr6Sm3 | Alexandria | PBE-GGA | relaxed
data_CaLa2Pr6Sm3
_chemical_formula_sum 'Ca1 La2 Pr6 Sm3'
_cell_length_a 6.436
_cell_length_b 6.436
_cell_length_c 12.257
_cell_angle_alpha 95.03
_cell_angle_beta 95.03
_cell_angle_gamma 120.04
_symmetry_space_group_name_H-M 'P 1'
_symmetry_Int_Tables_number 1
_symmetry_space_group_name_Hall 'P 1'
loop_
_atom_site_label
_atom_site_type_symbol
_atom_site_fract_x
_atom_site_fract_y
_atom_site_fract_z
Ca1 Ca 0.000 0.000 0.000
La1 La 0.333 0.667 0.000
La2 La 0.667 0.333 0.000
Pr1 Pr 0.086 0.424 0.255
Pr2 Pr 0.252 0.252 0.744
Pr3 Pr 0.424 0.086 0.255
Pr4 Pr 0.576 0.914 0.745
Pr5 Pr 0.748 0.748 0.256
Pr6 Pr 0.914 0.576 0.745
Sm1 Sm 0.166 0.834 0.500
Sm2 Sm 0.500 0.500 0.500
Sm3 Sm 0.834 0.166 0.500
# M_tot, μB/f.u.: 0.0
# Energy relative to the elements, eV per atom: 0.03

---

# 3
# CaRe2Pb | Alexandria | PBE-GGA | relaxed
data_CaRe2Pb
_chemical_formula_sum 'Ca1 Re2 Pb1'
_cell_length_a 5.740
_cell_length_b 5.740
_cell_length_c 5.716
_cell_angle_alpha 112.25
_cell_angle_beta 112.25
_cell_angle_gamma 34.45
_symmetry_space_group_name_H-M 'P 1'
_symmetry_Int_Tables_number 1
_symmetry_space_group_name_Hall 'P 1'
loop_
_atom_site_label
_atom_site_type_symbol
_atom_site_fract_x
_atom_site_fract_y
_atom_site_fract_z
Ca1 Ca 0.000 0.000 0.000
Re1 Re 0.232 0.232 0.846
Re2 Re 0.768 0.768 0.154
Pb1 Pb 0.500 0.500 0.500
# M_tot, μB/f.u.: 0.0
# Energy relative to the elements, eV per atom: 0.69

---

# 4
# MnAl5Co4 | Alexandria | PBE-GGA | relaxed
data_MnAl5Co4
_chemical_formula_sum 'Mn1 Al5 Co4'
_cell_length_a 2.845
_cell_length_b 2.845
_cell_length_c 14.672
_cell_angle_alpha 90.00
_cell_angle_beta 90.00
_cell_angle_gamma 90.00
_symmetry_space_group_name_H-M 'P 1'
_symmetry_Int_Tables_number 1
_symmetry_space_group_name_Hall 'P 1'
loop_
_atom_site_label
_atom_site_type_symbol
_atom_site_fract_x
_atom_site_fract_y
_atom_site_fract_z
Mn1 Mn 0.000 0.000 0.000
Al1 Al 0.500 0.500 0.110
Al2 Al 0.500 0.500 0.305
Al3 Al 0.500 0.500 0.500
Al4 Al 0.500 0.500 0.695
Al5 Al 0.500 0.500 0.890
Co1 Co 0.000 0.000 0.207
Co2 Co 0.000 0.000 0.402
Co3 Co 0.000 0.000 0.598
Co4 Co 0.000 0.000 0.793
# M_tot, μB/f.u.: 1.9
# Energy relative to the elements, eV per atom: -0.54

---

# 5
# Rb8Au3I3Br | Alexandria | PBE-GGA | relaxed
data_Rb8Au3I3Br
_chemical_formula_sum 'Rb8 Au3 I3 Br1'
_cell_length_a 10.272
_cell_length_b 10.272
_cell_length_c 10.288
_cell_angle_alpha 119.98
_cell_angle_beta 119.98
_cell_angle_gamma 59.96
_symmetry_space_group_name_H-M 'P 1'
_symmetry_Int_Tables_number 1
_symmetry_space_group_name_Hall 'P 1'
loop_
_atom_site_label
_atom_site_type_symbol
_atom_site_fract_x
_atom_site_fract_y
_atom_site_fract_z
Rb1 Rb 0.243 0.243 0.734
Rb2 Rb 0.243 0.748 0.733
Rb3 Rb 0.252 0.757 0.267
Rb4 Rb 0.255 0.255 0.266
Rb5 Rb 0.745 0.745 0.734
Rb6 Rb 0.748 0.243 0.733
Rb7 Rb 0.757 0.252 0.267
Rb8 Rb 0.757 0.757 0.266
Au1 Au 0.000 0.500 0.500
Au2 Au 0.500 0.000 0.500
Au3 Au 0.500 0.500 0.500
I1 I 0.000 0.000 0.000
I2 I 0.000 0.500 0.000
I3 I 0.500 0.000 0.000
Br1 Br 0.000 0.000 0.500
# Uncorrected formation energy, kcal/mol of atoms: -21.235
# M_tot, μB/f.u.: 0.6

---

# 6
# GdHF | Alexandria | PBE-GGA | relaxed
data_GdHF
_chemical_formula_sum 'Gd1 H1 F1'
_cell_length_a 4.259
_cell_length_b 4.259
_cell_length_c 4.259
_cell_angle_alpha 134.42
_cell_angle_beta 134.42
_cell_angle_gamma 66.44
_symmetry_space_group_name_H-M 'P 1'
_symmetry_Int_Tables_number 1
_symmetry_space_group_name_Hall 'P 1'
loop_
_atom_site_label
_atom_site_type_symbol
_atom_site_fract_x
_atom_site_fract_y
_atom_site_fract_z
Gd1 Gd 0.000 0.000 0.000
H1 H 0.358 0.358 0.000
F1 F 0.675 0.675 0.000
# M_tot, μB/f.u.: 7.3
# E above lowest polymorph, eV/f.u.: 1.15